[1]
A relaxed structure of Pa2PdRu4. Source: Alexandria via LeMat-Bulk, functional PBE-GGA.

Computed properties:
* calculated formation energy: -245 meV/atom

a b c (Å): 9.884 5.613 9.124
angles (deg): 90.00 90.00 90.00
Space group Cmce (No. 64)
Asymmetric unit:
Pa  0.163  0.000  0.000 x8
Pd  0.000  0.000  0.500 x4
Ru  0.000  0.125  0.213 x8
Ru  0.250  0.153  0.750 x8

[2]
A relaxed structure of RbTl2Zn2. Source: Alexandria via LeMat-Bulk, functional PBE-GGA.

Computed properties:
* calculated formation energy: 55 meV/atom
* energy above the most stable polymorph in this dataset: 0.018 eV per atom

a b c (Å): 4.951 4.951 12.358
angles (deg): 90.00 90.00 90.00
Space group I4/mmm (No. 139)
Asymmetric unit:
Rb  0.000  0.000  0.000 x2
Tl  0.000  0.000  0.366 x4
Zn  0.000  0.500  0.250 x4

[3]
A relaxed structure of HfMn8Re3. Source: Alexandria via LeMat-Bulk, functional PBE-GGA.

Computed properties:
* calculated formation energy: -130 meV/atom

a b c (Å): 4.7109 4.7109 7.7777
angles (deg): 90.00 90.00 120.00
Space group P3m1 (No. 156)
Asymmetric unit:
Hf  0.0000  0.0000  0.0000 x1
Mn  0.1619  0.3238  0.6836 x3
Mn  0.3333  0.6667  0.4411 x1
Mn  0.3333  0.6667  0.9415 x1
Mn  0.5061  0.0122  0.1918 x3
Re  0.0000  0.0000  0.3781 x1
Re  0.6667  0.3333  0.5043 x1
Re  0.6667  0.3333  0.8598 x1

[4]
A relaxed structure of K2LiZr3S8. Source: Alexandria via LeMat-Bulk, functional PBE-GGA.

Computed properties:
* E_form (uncorrected): -1.39 eV per atom

a b c (Å): 7.4516 7.4516 24.0053
angles (deg): 90.00 90.00 120.00
Space group R3m (No. 160, hexagonal axes)
Asymmetric unit:
K  0.0000  0.0000  0.0000 x3
K  0.0000  0.0000  0.3510 x3
Li  0.0000  0.0000  0.5041 x3
Zr  0.0046  0.5023  0.4998 x9
S  0.0000  0.0000  0.2261 x3
S  0.0000  0.0000  0.7705 x3
S  0.0116  0.5058  0.7729 x9
S  0.1728  0.3457  0.5607 x9

Short version: total magnetization = 0.000 0.000 0.002 0.000 μB per atom, in the order given.
Short version: density of states at the Fermi level = 20.411 5.397 13.678 18.843 states/eV per cell, in the order given.